Al4Ag5: optimized geometry, PBEsol.

Calculated values
* ΔH_f (0 K): -7.0 kJ/mol of atoms
* total magnetic moment: 0.000 μB/atom
* excess energy over the best structure of this formula in the dataset: 0.11 eV/f.u.

Cell: 6.2862 6.2862 6.5271 Å, 109.70 109.70 36.89°
Atoms (fractional coordinates):
Al: 0.1613 0.1613 0.4915
Al: 0.2806 0.2806 0.1689
Al: 0.7194 0.7194 0.8311
Al: 0.8387 0.8387 0.5085
Ag: 0.0609 0.0609 0.8359
Ag: 0.3767 0.3767 0.8212
Ag: 0.5000 0.5000 0.5000
Ag: 0.6233 0.6233 0.1788
Ag: 0.9391 0.9391 0.1641

---

Al7Ag4: optimized geometry, PBEsol.

Calculated values
* ΔH_f (0 K): -3.2 kJ/mol of atoms
* total magnetic moment: 0.000 μB/atom
* excess energy over the best structure of this formula in the dataset: 0.25 eV/f.u.

Cell: 4.8770 6.3683 6.4382 Å, 109.25 103.95 96.97°
Atoms (fractional coordinates):
Al: 0.0000 0.0000 0.0000
Al: 0.0939 0.8145 0.3647
Al: 0.1954 0.6386 0.7281
Al: 0.4549 0.0944 0.8214
Al: 0.5451 0.9056 0.1786
Al: 0.8046 0.3614 0.2719
Al: 0.9061 0.1855 0.6353
Ag: 0.2674 0.4513 0.0918
Ag: 0.3478 0.2633 0.4503
Ag: 0.6522 0.7367 0.5497
Ag: 0.7326 0.5487 0.9082

---

Al5Ag3: optimized geometry, PBEsol.

Calculated values
* ΔH_f (0 K): -2.4 kJ/mol of atoms
* total magnetic moment: 0.000 μB/atom
* excess energy over the best structure of this formula in the dataset: 0.27 eV/f.u.

Cell: 2.8470 2.8470 16.0105 Å, 90.00 90.00 90.00°
Atoms (fractional coordinates):
Al: 0.0000 0.0000 0.0000
Al: 0.0000 0.0000 0.2499
Al: 0.0000 0.0000 0.7501
Al: 0.5000 0.5000 0.1252
Al: 0.5000 0.5000 0.8748
Ag: 0.0000 0.0000 0.5000
Ag: 0.5000 0.5000 0.3691
Ag: 0.5000 0.5000 0.6309

---

Al2Ag3: optimized geometry, PBEsol.

Calculated values
* ΔH_f (0 K): -7.4 kJ/mol of atoms
* total magnetic moment: 0.000 μB/atom
* excess energy over the best structure of this formula in the dataset: 0.04 eV/f.u.

Cell: 4.9098 5.7815 6.2267 Å, 104.21 95.66 107.77°
Atoms (fractional coordinates):
Al: 0.0000 0.0000 0.0000
Al: 0.0154 0.5082 0.0047
Al: 0.2128 0.4149 0.4060
Al: 0.4104 0.2951 0.7996
Ag: 0.2118 0.9125 0.3927
Ag: 0.3896 0.8020 0.8017
Ag: 0.6044 0.6943 0.1907
Ag: 0.6266 0.2123 0.1935
Ag: 0.7919 0.5988 0.6083
Ag: 0.8252 0.1172 0.6149

---

Al5Ag6: optimized geometry, PBEsol.

Calculated values
* ΔH_f (0 K): -6.5 kJ/mol of atoms
* total magnetic moment: 0.000 μB/atom
* excess energy over the best structure of this formula in the dataset: 0.02 eV/f.u.

Cell: 4.9985 4.9985 10.3567 Å, 105.12 105.12 45.40°
Atoms (fractional coordinates):
Al: 0.0000 0.0000 0.0000
Al: 0.0953 0.0953 0.6335
Al: 0.2772 0.2772 0.9052
Al: 0.7228 0.7228 0.0948
Al: 0.9047 0.9047 0.3665
Ag: 0.1761 0.1761 0.2661
Ag: 0.3698 0.3698 0.5472
Ag: 0.4381 0.4381 0.1712
Ag: 0.5619 0.5619 0.8288
Ag: 0.6302 0.6302 0.4528
Ag: 0.8239 0.8239 0.7339

---

AlAg: optimized geometry, PBEsol.

Calculated values
* ΔH_f (0 K): -4.4 kJ/mol of atoms
* total magnetic moment: 0.000 μB/atom

Cell: 4.9664 4.9664 4.9664 Å, 132.76 132.76 69.03°
Atoms (fractional coordinates):
Al: 0.3750 0.6250 0.7500
Al: 0.6250 0.3750 0.2500
Ag: 0.1250 0.8750 0.2500
Ag: 0.8750 0.1250 0.7500

---

Al2Ag3: optimized geometry, PBEsol.

Calculated values
* ΔH_f (0 K): -7.0 kJ/mol of atoms
* total magnetic moment: 0.000 μB/atom
* excess energy over the best structure of this formula in the dataset: 0.06 eV/f.u.

Cell: 3.9921 10.2871 10.2871 Å, 22.36 90.00 90.00°
Atoms (fractional coordinates):
Al: 0.0000 0.9998 0.9998
Al: 0.0000 0.2015 0.2015
Al: 0.5000 0.5000 0.5000
Al: 0.5000 0.8968 0.8968
Ag: 0.0000 0.4078 0.4078
Ag: 0.0000 0.5988 0.5988
Ag: 0.0000 0.8008 0.8008
Ag: 0.5000 0.0953 0.0953
Ag: 0.5000 0.3019 0.3019
Ag: 0.5000 0.6991 0.6991

---

Al5Ag4: optimized geometry, PBEsol.

Calculated values
* ΔH_f (0 K): -1.6 kJ/mol of atoms
* total magnetic moment: 0.000 μB/atom
* excess energy over the best structure of this formula in the dataset: 0.39 eV/f.u.

Cell: 6.3637 6.3637 6.3637 Å, 95.70 95.70 143.26°
Atoms (fractional coordinates):
Al: 0.0000 0.0000 0.0000
Al: 0.3325 0.3325 0.6651
Al: 0.3325 0.6675 0.0000
Al: 0.6675 0.3325 0.0000
Al: 0.6675 0.6675 0.3349
Ag: 0.0000 0.3240 0.3240
Ag: 0.0000 0.6760 0.6760
Ag: 0.3240 0.0000 0.3240
Ag: 0.6760 0.0000 0.6760

---

Al5Ag2: optimized geometry, PBEsol.

Calculated values
* ΔH_f (0 K): -2.7 kJ/mol of atoms
* total magnetic moment: 0.000 μB/atom
* excess energy over the best structure of this formula in the dataset: 0.16 eV/f.u.

Cell: 13.8725 13.8725 13.8725 Å, 168.10 168.10 16.86°
Atoms (fractional coordinates):
Al: 0.0000 0.0000 0.0000
Al: 0.1420 0.1420 0.0000
Al: 0.2860 0.2860 0.0000
Al: 0.7140 0.7140 0.0000
Al: 0.8580 0.8580 0.0000
Ag: 0.4290 0.4290 0.0000
Ag: 0.5710 0.5710 0.0000

---

Al5Ag3: optimized geometry, PBEsol.

Calculated values
* ΔH_f (0 K): -1.9 kJ/mol of atoms
* total magnetic moment: 0.000 μB/atom
* excess energy over the best structure of this formula in the dataset: 0.31 eV/f.u.

Cell: 4.8688 4.8688 5.9223 Å, 90.00 90.00 111.14°
Atoms (fractional coordinates):
Al: 0.0000 0.0000 0.0000
Al: 0.0000 0.0000 0.5000
Al: 0.0000 0.5000 0.2563
Al: 0.5000 0.0000 0.7437
Al: 0.5000 0.5000 0.0000
Ag: 0.0000 0.5000 0.7597
Ag: 0.5000 0.0000 0.2403
Ag: 0.5000 0.5000 0.5000

---

Al3Ag5: optimized geometry, PBEsol.

Calculated values
* ΔH_f (0 K): -7.0 kJ/mol of atoms
* total magnetic moment: 0.000 μB/atom
* excess energy over the best structure of this formula in the dataset: 0.17 eV/f.u.

Cell: 6.1370 6.1370 3.3874 Å, 90.00 90.00 90.00°
Atoms (fractional coordinates):
Al: 0.0000 0.0000 0.0000
Al: 0.0000 0.5000 0.0000
Al: 0.5000 0.0000 0.0000
Ag: 0.2420 0.2420 0.5000
Ag: 0.2420 0.7580 0.5000
Ag: 0.5000 0.5000 0.0000
Ag: 0.7580 0.2420 0.5000
Ag: 0.7580 0.7580 0.5000

---

AlAg2: optimized geometry, PBEsol.

Calculated values
* ΔH_f (0 K): -6.5 kJ/mol of atoms
* total magnetic moment: 0.000 μB/atom

Cell: 2.9667 3.9168 8.3800 Å, 90.00 90.00 90.00°
Atoms (fractional coordinates):
Al: 0.2500 0.2500 0.0913
Al: 0.7500 0.7500 0.9087
Ag: 0.2500 0.2500 0.4149
Ag: 0.2500 0.2500 0.7658
Ag: 0.7500 0.7500 0.2342
Ag: 0.7500 0.7500 0.5851